Record 1
# Ac6NdSm

A relaxed Ac6NdSm crystal (PBE, the Alexandria database).

Computed properties:
As for the symmetry: P4/mmm (123). For the formation energy, the calculation gives 0.02 eV per atom. The density of states at the Fermi level is 1.678 states/eV/atom. The calculated total energy is -4.24 eV/atom.

The structure in POSCAR format:
```
Ac6NdSm
1.0
5.5227 0.0000 0.0000
0.0000 5.5227 0.0000
0.0000 0.0000 11.0501
Ac Nd Sm
6 1 1
Cartesian
0.0000 0.0000 0.0000 Ac
0.0000 0.0000 5.5250 Ac
0.0000 2.7614 2.7546 Ac
0.0000 2.7614 8.2955 Ac
2.7614 0.0000 2.7546 Ac
2.7614 0.0000 8.2955 Ac
2.7614 2.7614 5.5250 Nd
2.7614 2.7614 0.0000 Sm
```



Record 2
# AcNd3Sm6

A relaxed AcNd3Sm6 crystal (PBE, the Alexandria database).

Computed properties:
The relative energy among the computed polymorphs comes out at 0.000 eV per atom. As for the symmetry: Cmc2_1 (36). For the formation energy, the calculation gives 0.18 eV per atom. The density of states at the Fermi level is 1.429 states/eV/atom. The calculated total energy is -4.49 eV/atom.

The structure in POSCAR format:
```
AcNd3Sm6
1.0
5.7688 -6.7571 0.0000
5.7688 6.7571 0.0000
0.0000 0.0000 9.3394
Ac Nd Sm
2 6 12
Cartesian
5.7688 3.4740 4.6697 Ac
5.7688 -3.4740 0.0000 Ac
5.7688 6.3980 7.8075 Nd
3.2593 1.0414 8.7175 Nd
3.2593 -1.0414 4.0478 Nd
8.2783 1.0414 8.7175 Nd
8.2783 -1.0414 4.0478 Nd
5.7688 -6.3980 3.1378 Nd
2.1961 1.5476 5.7579 Sm
2.8381 2.1930 2.4964 Sm
5.7688 3.1030 8.7760 Sm
2.1961 -1.5476 1.0882 Sm
2.8381 -2.1930 7.1660 Sm
5.7688 0.1192 1.8203 Sm
5.7688 -0.1192 6.4900 Sm
8.6995 2.1930 2.4964 Sm
9.3415 1.5476 5.7579 Sm
5.7688 -3.1030 4.1063 Sm
8.6995 -2.1930 7.1660 Sm
9.3415 -1.5476 1.0882 Sm
```



Record 3
# AcNd4Sm6

A relaxed AcNd4Sm6 crystal (PBE, the Alexandria database).

Computed properties:
The relative energy among the computed polymorphs comes out at 0.065 eV per atom. As for the symmetry: I-42m (121). For the formation energy, the calculation gives 0.38 eV per atom. The density of states at the Fermi level is 1.544 states/eV/atom. The calculated total energy is -4.30 eV/atom.

The structure in POSCAR format:
```
AcNd4Sm6
1.0
-3.9916 3.9916 6.5312
3.9916 -3.9916 6.5312
3.9916 3.9916 -6.5312
Ac Nd Sm
1 4 6
Cartesian
0.0000 0.0000 0.0000 Ac
2.6410 2.6410 -0.9676 Nd
1.3506 -1.3506 7.4988 Nd
1.3506 1.3506 5.5635 Nd
-1.3506 1.3506 7.4988 Nd
3.9916 0.0000 0.0000 Sm
1.9337 -1.9337 4.0282 Sm
2.0579 2.0579 2.5030 Sm
0.0000 3.9916 0.0000 Sm
-1.9337 1.9337 4.0282 Sm
1.9337 1.9337 9.0342 Sm
```